No. 1
# BaIn9Au2

BaIn9Au2 after structural relaxation (PBE, Alexandria via LeMat-Bulk).

```
BaIn9Au2
1.0
4.3463 0.0000 0.0000
0.0000 9.4791 0.0000
0.0000 -4.7395 8.2091
In Au Ba
9 2 1
Cartesian
0.0000 2.3698 4.1046
2.1731 1.8860 6.5616
2.1731 -1.8860 6.5616
2.1731 2.8536 1.6475
0.0000 -2.3698 4.1046
2.1731 6.6255 1.6475
0.0000 4.7395 0.0000
2.1731 4.7395 4.9141
2.1731 0.0000 3.2950
0.0000 4.7395 2.7364
0.0000 0.0000 5.4728
0.0000 0.0000 0.0000
```

Output
E above lowest polymorph in eV per atom: 0.036
ΔE_f in meV per atom: -152


No. 2
# BaIn2Au2

BaIn2Au2 after structural relaxation (PBE, Alexandria via LeMat-Bulk).

```
BaIn2Au2
1.0
-4.0116 0.3003 2.6608
4.7647 -1.6563 7.3706
1.9296 12.3135 1.5197
Au Ba In
8 4 8
Cartesian
2.9100 6.7765 10.1797
2.8190 5.5036 5.8148
1.8194 1.2106 4.7922
1.3227 11.9859 2.8273
0.8633 9.7469 6.7588
-0.2272 4.1810 1.3713
1.3600 -1.0285 8.7238
-0.1363 5.4538 5.7363
4.3281 9.0576 7.6890
1.0632 3.1533 7.8043
1.6195 7.8041 3.7468
-1.6454 1.8998 3.8621
1.4004 3.8893 3.8581
-1.6527 5.6026 3.4332
3.3656 0.3990 7.2149
-0.6829 10.5584 4.3362
1.2823 7.0682 7.6929
4.3355 5.3549 8.1179
-0.0440 -0.1620 6.5092
2.7267 11.1195 5.0418
```

Output
ΔE_f in meV per atom: -551


No. 3
# Ba4InAu2

Ba4InAu2 after structural relaxation (PBE, Alexandria via LeMat-Bulk).

```
Ba4InAu2
1.0
5.7512 0.0000 0.0000
0.0000 8.3218 0.0000
0.0000 0.0000 11.5801
In Au Ba
2 4 8
Cartesian
0.0000 4.1609 0.0000
0.0000 0.0000 5.7900
2.8756 8.3195 8.6860
2.8756 4.1631 2.8960
2.8756 4.1586 8.6841
2.8756 0.0022 2.8940
0.0000 6.2437 8.6855
2.8756 6.2207 5.7886
0.0000 6.2390 2.8954
0.0000 2.0781 2.8946
2.8756 2.1011 5.7915
0.0000 2.0828 8.6846
2.8756 6.2620 11.5786
2.8756 2.0598 0.0014
```

Output
ΔE_f in meV per atom: -490


No. 4
# BaIn4Au2

BaIn4Au2 after structural relaxation (PBE, Alexandria via LeMat-Bulk).

```
BaIn4Au2
1.0
-1.3826 -4.1475 1.4714
-0.9610 -1.2354 -4.3855
8.6671 -2.4419 1.2607
Au In Ba
2 4 1
Cartesian
6.1953 -4.6475 -0.0484
0.1282 -3.1773 -1.6051
2.2554 -3.1750 0.4002
2.5244 -1.7408 -2.5349
4.0681 -4.6498 -2.0536
5.1817 -1.9366 -0.5899
0.0000 0.0000 0.0000
```

Output
E above lowest polymorph in eV per atom: 0.035
ΔE_f in meV per atom: -385


No. 5
# Ba2InAu3

Ba2InAu3 after structural relaxation (PBE, Alexandria via LeMat-Bulk).

```
Ba2InAu3
1.0
6.6111 -0.2479 0.0000
-0.5045 6.5964 0.0000
-3.0533 -3.1742 8.4421
Ba Au In
4 6 2
Cartesian
4.6415 4.8254 0.0000
3.3055 -0.1240 4.2210
1.4651 1.5231 0.0000
-0.2523 3.2982 4.2210
3.0533 3.1743 5.6136
-1.7533 1.6865 7.0204
1.3000 4.8607 1.4217
4.8066 1.4878 1.4217
0.0000 0.0000 2.8285
1.7533 -1.6865 7.0204
0.0000 0.0000 5.6357
3.0533 3.1742 2.8064
```

Output
ΔE_f in meV per atom: -635


No. 6
# Ba4In2Au

Ba4In2Au after structural relaxation (PBE, Alexandria via LeMat-Bulk).

```
Ba4In2Au
1.0
5.4897 0.0000 -1.7500
-0.5578 5.4613 -1.7500
0.0376 0.0417 9.6038
Ba In Au
4 2 1
Cartesian
0.3258 3.4003 1.0222
3.3496 0.6697 1.0222
1.6199 4.8333 5.0817
4.6437 2.1026 5.0817
1.2719 1.4084 3.9899
3.6977 4.0946 2.1140
0.0000 0.0000 0.0000
```

Output
E above lowest polymorph in eV per atom: 0.000
ΔE_f in meV per atom: -413


No. 7
# Ba2InAu2

Ba2InAu2 after structural relaxation (PBE, Alexandria via LeMat-Bulk).

```
Ba2InAu2
1.0
4.0185 0.0000 0.0000
0.0000 4.0185 0.0000
2.0092 2.0092 10.2551
Au Ba In
2 2 1
Cartesian
2.0092 4.0185 5.1276
4.0185 2.0092 5.1276
4.0185 4.0185 7.8766
2.0092 2.0092 2.3785
0.0000 0.0000 0.0000
```

Output
ΔE_f in meV per atom: -418


No. 8
# BaIn2Au

BaIn2Au after structural relaxation (PBE, Alexandria via LeMat-Bulk).

```
BaIn2Au
1.0
6.4787 0.0000 0.0000
0.0000 7.9599 0.0000
0.0000 0.0000 18.0043
In Au Ba
16 8 8
Cartesian
3.3285 3.5268 12.8522
4.9913 7.5192 0.6581
6.3895 0.4531 3.8501
3.1502 7.5068 5.1520
1.7519 3.5392 8.3440
4.7268 4.4207 9.6602
3.1502 4.4331 5.1520
1.7519 0.4408 8.3440
3.3285 0.4531 12.8522
1.4874 0.4408 17.3462
0.0891 7.5068 14.1542
1.4874 3.5392 17.3462
4.7268 7.5192 9.6602
6.3895 3.5268 3.8501
4.9913 4.4207 0.6581
0.0891 4.4331 14.1542
1.7062 1.9900 5.8488
4.9455 5.9699 3.1533
3.2699 1.9900 10.3133
6.4481 1.9900 1.3111
1.5332 1.9900 14.8509
3.2088 5.9699 7.6910
0.0306 5.9699 16.6931
4.7725 5.9699 12.1555
4.6986 1.9900 16.1071
3.3084 5.9699 15.4401
3.1703 1.9900 2.5642
1.7801 5.9699 1.8971
0.0690 1.9900 11.5663
6.4097 5.9699 6.4379
1.4593 5.9699 10.8993
5.0194 1.9900 7.1050
```

Output
ΔE_f in meV per atom: -479


No. 9
# Ba5In4Au

Ba5In4Au after structural relaxation (PBE, Alexandria via LeMat-Bulk).

```
Ba5In4Au
1.0
-2.9242 1.7345 -2.5462
1.2649 -2.5250 -3.1728
-13.8376 -14.4944 6.0184
In Ba Au
4 5 1
Cartesian
-11.1056 -11.6328 4.8301
-8.3741 -8.7717 3.6422
-5.4634 -5.7228 2.3762
-2.7320 -2.8616 1.1882
-13.3813 -13.5428 2.5996
-2.1155 -1.7422 -2.3002
-4.9283 -4.6885 -1.0768
-10.5685 -10.5964 1.3763
-7.7484 -7.6425 0.1497
0.0000 0.0000 0.0000
```

Output
ΔE_f in meV per atom: -446


No. 10
# Ba3In3Au8

Ba3In3Au8 after structural relaxation (PBE, Alexandria via LeMat-Bulk).

```
Ba3In3Au8
1.0
-0.0653 0.1776 4.6645
3.8943 -7.8903 2.6910
9.5654 0.4977 2.4510
Ba In Au
3 3 8
Cartesian
0.0000 0.0000 0.0000
4.3090 -1.6518 4.7954
9.0853 -5.5632 5.0112
1.4460 -2.6880 2.4587
11.9483 -4.5270 7.3479
6.7298 -3.6963 2.5710
10.9364 -7.1396 7.4332
7.9927 -2.0846 4.8634
6.7799 -6.3089 7.3434
9.5480 -2.9012 7.2524
2.4579 -0.0754 2.3734
5.4016 -5.1304 4.9431
6.6144 -0.9061 2.4632
3.8464 -4.3138 2.5542
```

Output
E above lowest polymorph in eV per atom: 0.000
ΔE_f in meV per atom: -556


No. 11
# Ba2In3Au4

Ba2In3Au4 after structural relaxation (PBE, Alexandria via LeMat-Bulk).

```
Ba2In3Au4
1.0
-5.0561 -3.1265 -2.9828
2.8677 -7.4429 2.9404
-2.2055 2.5151 8.5175
In Au Ba
6 8 4
Cartesian
0.7342 -4.2615 6.9299
0.0000 0.0000 0.0000
-5.1281 -3.7927 1.5452
-1.0942 -5.2847 -0.0212
-1.7939 -5.8248 5.4385
-2.6000 -2.2295 3.0366
-5.3963 -1.2340 3.0254
-1.6411 -2.8555 5.7749
-0.8579 -3.9414 9.2930
1.0023 -6.8203 5.4497
-2.7528 -5.1987 2.7001
-3.5360 -4.1129 -0.8179
-1.0080 -2.5497 0.6735
-3.3859 -5.5046 7.8016
-3.4314 0.1127 5.6983
0.6139 -4.1339 3.2924
-0.9626 -8.1670 2.7768
-5.0078 -3.9204 5.1827
```

Output
ΔE_f in meV per atom: -524


No. 12
# BaIn2Au9

BaIn2Au9 after structural relaxation (PBE, Alexandria via LeMat-Bulk).

```
BaIn2Au9
1.0
3.4867 0.0000 0.0000
0.0000 9.2641 0.0000
0.0000 -4.6321 8.0230
Au In Ba
9 2 1
Cartesian
1.7434 -2.0942 6.5578
0.0000 4.6321 0.0000
0.0000 -2.3160 4.0115
0.0000 2.3160 4.0115
1.7434 4.6321 5.0925
1.7434 6.7263 1.4652
1.7434 2.5378 1.4652
1.7434 2.0942 6.5578
1.7434 0.0000 2.9304
0.0000 4.6321 2.6743
0.0000 0.0000 5.3486
0.0000 0.0000 0.0000
```

Output
E above lowest polymorph in eV per atom: 0.140
ΔE_f in meV per atom: -107